[1]
# MnInNi | Alexandria via LeMat-Bulk | meta-GGA SCAN | PBEsol geometry
data_MnInNi
_chemical_formula_sum 'Mn4 In4 Ni4'
_cell_length_a 5.9241
_cell_length_b 5.9241
_cell_length_c 5.9241
_cell_angle_alpha 90.00
_cell_angle_beta 90.00
_cell_angle_gamma 90.00
_symmetry_space_group_name_H-M 'F -4 3 m'
_symmetry_Int_Tables_number 216
_symmetry_space_group_name_Hall 'F -4 2 3'
loop_
_atom_site_label
_atom_site_type_symbol
_atom_site_fract_x
_atom_site_fract_y
_atom_site_fract_z
_atom_site_occupancy
Mn1 Mn 0.0000 0.0000 0.0000 1
In1 In 0.2500 0.2500 0.7500 1
Ni1 Ni 0.0000 0.0000 0.5000 1
# * energy: -22.238 eV per atom
# * formation enthalpy at 0 K: 0.367 eV per atom
# * theoretical density: 7.3 g/cm3

[2]
# LiAg2F4 | Alexandria via LeMat-Bulk | meta-GGA SCAN | PBEsol geometry
data_LiAg2F4
_chemical_formula_sum 'Li2 Ag4 F8'
_cell_length_a 3.2023
_cell_length_b 10.4002
_cell_length_c 5.5628
_cell_angle_alpha 90.00
_cell_angle_beta 93.37
_cell_angle_gamma 90.00
_symmetry_space_group_name_H-M 'P 1 21/m 1'
_symmetry_Int_Tables_number 11
_symmetry_space_group_name_Hall '-P 2yb'
loop_
_atom_site_label
_atom_site_type_symbol
_atom_site_fract_x
_atom_site_fract_y
_atom_site_fract_z
_atom_site_occupancy
Li1 Li 0.1328 0.2500 0.2978 1
Ag1 Ag 0.3554 0.5824 0.2316 1
F1 F 0.0000 0.0000 0.5000 1
F2 F 0.2501 0.1185 0.0686 1
F3 F 0.3677 0.7500 0.4935 1
# * energy: -13.032 eV per atom
# * ΔE_f (raw): -1706.0 meV/atom
# * theoretical density: 5.4 g/cm3
# * offset from the most stable computed form: 18 meV per atom

[3]
# SbAs2Br | Alexandria via LeMat-Bulk | meta-GGA SCAN | PBEsol geometry
data_SbAs2Br
_chemical_formula_sum 'Sb2 As4 Br2'
_cell_length_a 5.7868
_cell_length_b 5.7868
_cell_length_c 5.7549
_cell_angle_alpha 90.00
_cell_angle_beta 90.00
_cell_angle_gamma 90.00
_symmetry_space_group_name_H-M 'I 4/m m m'
_symmetry_Int_Tables_number 139
_symmetry_space_group_name_Hall '-I 4 2'
loop_
_atom_site_label
_atom_site_type_symbol
_atom_site_fract_x
_atom_site_fract_y
_atom_site_fract_z
_atom_site_occupancy
Sb1 Sb 0.0000 0.0000 0.0000 1
As1 As 0.0000 0.5000 0.0000 1
Br1 Br 0.0000 0.0000 0.5000 1
# * energy: -23.963 eV per atom
# * ΔE_f (raw): 312.0 meV/atom
# * theoretical density: 6.1 g/cm3
# * offset from the most stable computed form: 255 meV per atom

[4]
# GaCo2AsC | Alexandria via LeMat-Bulk | meta-GGA SCAN | PBEsol geometry
data_GaCo2AsC
_chemical_formula_sum 'Ga1 Co2 As1 C1'
_cell_length_a 4.3222
_cell_length_b 4.3222
_cell_length_c 3.8073
_cell_angle_alpha 90.00
_cell_angle_beta 90.00
_cell_angle_gamma 90.00
_symmetry_space_group_name_H-M 'P 4/m m m'
_symmetry_Int_Tables_number 123
_symmetry_space_group_name_Hall '-P 4 2'
loop_
_atom_site_label
_atom_site_type_symbol
_atom_site_fract_x
_atom_site_fract_y
_atom_site_fract_z
_atom_site_occupancy
Ga1 Ga 0.0000 0.0000 0.0000 1
Co1 Co 0.0000 0.5000 0.5000 1
As1 As 0.5000 0.5000 0.5000 1
C1 C 0.5000 0.5000 0.0000 1
# * energy: -14.826 eV per atom
# * formation enthalpy at 0 K: 1.423 eV per atom
# * theoretical density: 6.4 g/cm3